Entry from Alexandria via LeMat-Bulk: a relaxed structure of LaPmNdSc (PBE-GGA).

Computed properties:
The crystal system is cubic. Its calculated formation energy is 118.5 meV per atom. The space group is F-43m.

Unit cell a=5.7006 b=5.7006 c=5.7006 alpha=60.00 beta=60.00 gamma=60.00
Closest atoms and distances in Å follow each position.
Fractional coordinates of all 4 atoms:
Sc1 0.0000 0.0000 0.0000  4 Nd 3.49, 4 La 3.49
La1 0.7500 0.7500 0.7500  4 Sc 3.49, 4 Pm 3.49
Nd1 0.2500 0.2500 0.2500  4 Pm 3.49, 4 Sc 3.49
Pm1 0.5000 0.5000 0.5000  4 La 3.49, 4 Nd 3.49

---

Entry from Alexandria via LeMat-Bulk: a relaxed structure of VGaPt (PBE-GGA).

Computed properties:
The crystal system is tetragonal. Its calculated formation energy is -449.0 meV per atom. The space group is I4mm.

Unit cell a=2.7996 b=2.7996 c=11.0933 alpha=90.00 beta=90.00 gamma=90.00
Closest atoms and distances in Å follow each position.
Fractional coordinates of all 6 atoms:
Ga1 0.0000 0.0000 0.6898  4 V 2.67, 4 Pt 2.75, 4 Ga 2.80
Ga2 0.5000 0.5000 0.1898  4 V 2.67, 4 Pt 2.75, 4 Ga 2.80
Pt1 0.0000 0.0000 0.0176  4 V 2.70, 4 Ga 2.75, 4 Pt 2.80
Pt2 0.5000 0.5000 0.5176  4 V 2.70, 4 Ga 2.75, 4 Pt 2.80
V1 0.0000 0.0000 0.3516  4 Ga 2.67, 4 Pt 2.70, 4 V 2.80
V2 0.5000 0.5000 0.8516  4 Ga 2.67, 4 Pt 2.70, 4 V 2.80

---

Entry from Alexandria via LeMat-Bulk: a relaxed structure of FeSe3N (PBE-GGA).

Computed properties:
Its formation energy without anion corrections is 1.516 eV per atom. The crystal system is cubic. For the relative energy among the computed polymorphs, the calculation gives 255 meV per atom. The space group is Pm-3m.

Unit cell a=4.5671 b=4.5671 c=4.5671 alpha=90.00 beta=90.00 gamma=90.00
Closest atoms and distances in Å follow each position.
Fractional coordinates of all 5 atoms:
Fe1 0.0000 0.0000 0.0000  6 Se 2.28
Se1 0.0000 0.5000 0.0000  2 Fe 2.28
Se2 0.0000 0.0000 0.5000  2 Fe 2.28
Se3 0.5000 0.0000 0.0000  2 Fe 2.28
N1 0.5000 0.5000 0.5000  12 Se 3.23